# PuBeCr2O6

Crystalline PuBeCr2O6 at its relaxed geometry (GGA+U, Alexandria).

```
data_PuBeCr2O6
_space_group_name_H-M_alt 'R 3'
_space_group_IT_number 146
_space_group_name_Hall 'R 3'
_cell_length_a 5.1471
_cell_length_b 5.1471
_cell_length_c 14.5009
_cell_angle_alpha 90.00
_cell_angle_beta 90.00
_cell_angle_gamma 120.00
loop_
_atom_site_label
_atom_site_type_symbol
_atom_site_fract_x
_atom_site_fract_y
_atom_site_fract_z
Pu1 Pu 0.0000 0.0000 0.0000
Be1 Be 0.0000 0.0000 0.4532
Cr1 Cr 0.0000 0.0000 0.2055
Cr2 Cr 0.0000 0.0000 0.7009
O1 O 0.0216 0.3386 0.1090
O2 O 0.0526 0.7075 0.2778
```

## Properties
final energy: -8.454 eV per atom
magnetization: 10.00 μB per formula unit